Entry from the Alexandria database: CuC2 after structural relaxation (GGA-PBE).

Results
Its total DFT energy (no corrections) is -6.2356 eV per atom. As for the relative energy among the computed polymorphs: 1045 meV/atom. Its space-group type is Fmmm (69). The formation energy comes out at 3.84 eV/f.u. The density of states at the Fermi level comes out at 0.069 states/eV per atom.

Unit cell a=4.3319 b=4.3316 c=3.3977 alpha=115.62 beta=115.61 gamma=108.82
Fractional positions:
C 0.6265 0.6264 0.0001
Cu 0.0000 0.0000 0.0000
C 0.3735 0.3736 0.9999

Entry from the Alexandria database: CuC2 after structural relaxation (GGA-PBE).

Results
Its total DFT energy (no corrections) is -4.8706 eV per atom. As for the relative energy among the computed polymorphs: 2410 meV/atom. Its space-group type is P-62m (189). The formation energy comes out at 7.93 eV/f.u. The density of states at the Fermi level comes out at 0.439 states/eV per atom.

Unit cell a=5.6710 b=5.6710 c=2.8780 alpha=90.00 beta=90.00 gamma=120.00
Fractional positions:
Cu 0.6667 0.3333 0.0000
C 0.2711 0.0000 0.0000
C 0.0000 0.2711 0.0000
Cu 0.0000 0.0000 0.5000
C 0.7289 0.7289 0.0000
C 0.6540 0.0000 0.5000
C 0.3460 0.3460 0.5000
C 0.0000 0.6540 0.5000
Cu 0.3333 0.6667 0.0000

Entry from the Alexandria database: Cu2C after structural relaxation (GGA-PBE).

Results
Its total DFT energy (no corrections) is -4.5806 eV per atom. As for the relative energy among the computed polymorphs: 560 meV/atom. Its space-group type is I4_1/amd (141). The formation energy comes out at 3.67 eV/f.u. The density of states at the Fermi level comes out at 0.397 states/eV per atom.

Unit cell a=9.5625 b=9.5625 c=9.5625 alpha=164.49 beta=164.49 gamma=22.00
Fractional positions:
C 0.0000 0.0000 0.0000
Cu 0.1843 0.6843 0.5000
Cu 0.3157 0.8157 0.5000
Cu 0.5657 0.5657 0.0000
C 0.7500 0.2500 0.5000
Cu 0.4343 0.4343 0.0000

Entry from the Alexandria database: Cu2C after structural relaxation (GGA-PBE).

Results
Its total DFT energy (no corrections) is -4.8792 eV per atom. As for the relative energy among the computed polymorphs: 262 meV/atom. Its space-group type is Fm-3m (225). The formation energy comes out at 2.78 eV/f.u. The density of states at the Fermi level comes out at 0.522 states/eV per atom.

Unit cell a=3.5115 b=3.5115 c=3.5115 alpha=60.00 beta=60.00 gamma=60.00
Fractional positions:
Cu 0.2500 0.2500 0.2500
Cu 0.7500 0.7500 0.7500
C 0.0000 0.0000 0.0000

Entry from the Alexandria database: Cu4C23 after structural relaxation (GGA-PBE).

Results
Its total DFT energy (no corrections) is -7.3401 eV per atom. Its space-group type is Pm-3n (223). The formation energy comes out at 30.35 eV/f.u. The density of states at the Fermi level comes out at 0.144 states/eV per atom.

Unit cell a=6.9857 b=6.9857 c=6.9857 alpha=90.00 beta=90.00 gamma=90.00
Fractional positions:
Cu 0.2500 0.0000 0.5000
C 0.0000 0.1222 0.6946
C 0.0000 0.7500 0.5000
C 0.1861 0.8139 0.8139
C 0.5000 0.0000 0.2500
C 0.0000 0.2500 0.5000
C 0.1861 0.8139 0.1861
C 0.6946 0.0000 0.1222
C 0.8139 0.1861 0.8139
C 0.8778 0.3054 0.0000
C 0.5000 0.0000 0.7500
C 0.6946 0.0000 0.8778
Cu 0.5000 0.5000 0.5000
C 0.7500 0.5000 0.0000
Cu 0.0000 0.0000 0.0000
C 0.1946 0.3778 0.5000
C 0.5000 0.8054 0.6222
C 0.0000 0.1222 0.3054
C 0.6222 0.5000 0.8054
C 0.6861 0.6861 0.6861
Cu 0.0000 0.5000 0.2500
C 0.1861 0.1861 0.8139
C 0.8139 0.1861 0.1861
C 0.1946 0.6222 0.5000
C 0.6861 0.6861 0.3139
C 0.1222 0.3054 0.0000
C 0.5000 0.1946 0.3778
C 0.1222 0.6946 0.0000
C 0.0000 0.8778 0.3054
C 0.6861 0.3139 0.3139
C 0.5000 0.8054 0.3778
C 0.0000 0.8778 0.6946
C 0.3139 0.3139 0.3139
C 0.3778 0.5000 0.1946
C 0.8778 0.6946 0.0000
Cu 0.5000 0.2500 0.0000
C 0.3139 0.6861 0.3139
C 0.1861 0.1861 0.1861
C 0.3054 0.0000 0.1222
C 0.8139 0.8139 0.1861
C 0.5000 0.1946 0.6222
Cu 0.5000 0.7500 0.0000
C 0.6861 0.3139 0.6861
C 0.3139 0.3139 0.6861
C 0.3139 0.6861 0.6861
C 0.6222 0.5000 0.1946
C 0.8054 0.6222 0.5000
Cu 0.7500 0.0000 0.5000
C 0.3054 0.0000 0.8778
C 0.3778 0.5000 0.8054
Cu 0.0000 0.5000 0.7500
C 0.8054 0.3778 0.5000
C 0.8139 0.8139 0.8139
C 0.2500 0.5000 0.0000

Entry from the Alexandria database: Cu2C after structural relaxation (GGA-PBE).

Results
Its total DFT energy (no corrections) is -4.8179 eV per atom. As for the relative energy among the computed polymorphs: 323 meV/atom. Its space-group type is Pnma (62). The formation energy comes out at 2.96 eV/f.u. The density of states at the Fermi level comes out at 0.470 states/eV per atom.

Unit cell a=3.2564 b=5.3875 c=6.7595 alpha=90.00 beta=90.00 gamma=90.00
Fractional positions:
Cu 0.2500 0.1347 0.4072
Cu 0.7500 0.3653 0.9072
Cu 0.7500 0.0033 0.1452
C 0.2500 0.2513 0.1088
Cu 0.7500 0.8653 0.5928
Cu 0.2500 0.6347 0.0928
C 0.2500 0.7513 0.3912
C 0.7500 0.2487 0.6088
Cu 0.2500 0.9967 0.8548
Cu 0.7500 0.5033 0.3548
C 0.7500 0.7487 0.8912
Cu 0.2500 0.4967 0.6452

Entry from the Alexandria database: Cu4C3 after structural relaxation (GGA-PBE).

Results
Its total DFT energy (no corrections) is -4.8555 eV per atom. As for the relative energy among the computed polymorphs: 69 meV/atom. Its space-group type is P-43m (215). The formation energy comes out at 10.07 eV/f.u. The density of states at the Fermi level comes out at 0.576 states/eV per atom.

Unit cell a=4.2883 b=4.2883 c=4.2883 alpha=90.00 beta=90.00 gamma=90.00
Fractional positions:
Cu 0.2225 0.2225 0.7775
C 0.5000 0.5000 0.0000
C 0.5000 0.0000 0.5000
Cu 0.2225 0.7775 0.2225
Cu 0.7775 0.7775 0.7775
C 0.0000 0.5000 0.5000
Cu 0.7775 0.2225 0.2225

Entry from the Alexandria database: CuC2 after structural relaxation (GGA-PBE).

Results
Its total DFT energy (no corrections) is -5.5327 eV per atom. As for the relative energy among the computed polymorphs: 1748 meV/atom. Its space-group type is I4/mmm (139). The formation energy comes out at 5.95 eV/f.u. The density of states at the Fermi level comes out at 0.539 states/eV per atom.

Unit cell a=4.7695 b=4.7695 c=4.7695 alpha=150.88 beta=150.88 gamma=41.65
Fractional positions:
C 0.2296 0.2296 0.0000
C 0.7704 0.7704 0.0000
Cu 0.0000 0.0000 0.0000

Entry from the Alexandria database: Cu2C3 after structural relaxation (GGA-PBE).

Results
Its total DFT energy (no corrections) is -6.2732 eV per atom. As for the relative energy among the computed polymorphs: 0 meV/atom. Its space-group type is R-3m (166). The formation energy comes out at 4.50 eV/f.u. The density of states at the Fermi level comes out at 0.415 states/eV per atom.

Unit cell a=10.5839 b=10.5839 c=10.5839 alpha=13.72 beta=13.72 gamma=13.72
Fractional positions:
Cu 0.6218 0.6218 0.6218
C 0.1667 0.1667 0.1667
C 0.8333 0.8333 0.8333
Cu 0.3782 0.3782 0.3782
C 0.0000 0.0000 0.0000

Entry from the Alexandria database: CuC2 after structural relaxation (GGA-PBE).

Results
Its total DFT energy (no corrections) is -5.5705 eV per atom. As for the relative energy among the computed polymorphs: 1710 meV/atom. Its space-group type is I4/mcm (140). The formation energy comes out at 5.83 eV/f.u. The density of states at the Fermi level comes out at 0.675 states/eV per atom.

Unit cell a=4.1859 b=4.1859 c=4.1859 alpha=109.21 beta=109.21 gamma=110.00
Site moments in Bohr magnetons follow the coordinates.
Fractional positions:
C 0.4026 0.0974 0.5000  0.14
C 0.9026 0.4026 0.3052  0.14
C 0.0974 0.5974 0.6948  0.14
C 0.5974 0.9026 0.5000  0.14
Cu 0.2500 0.2500 0.0000  0.13
Cu 0.7500 0.7500 0.0000  0.13

Entry from the Alexandria database: Cu2C after structural relaxation (GGA-PBE).

Results
Its total DFT energy (no corrections) is -4.1006 eV per atom. As for the relative energy among the computed polymorphs: 1040 meV/atom. Its space-group type is P6/mmm (191). The formation energy comes out at 5.11 eV/f.u. The density of states at the Fermi level comes out at 0.253 states/eV per atom.

Unit cell a=3.9344 b=3.9344 c=2.3935 alpha=90.00 beta=90.00 gamma=120.00
Fractional positions:
Cu 0.3333 0.6667 0.5000
Cu 0.6667 0.3333 0.5000
C 0.0000 0.0000 0.0000

Entry from the Alexandria database: Cu3C4 after structural relaxation (GGA-PBE).

Results
Its total DFT energy (no corrections) is -5.6524 eV per atom. As for the relative energy among the computed polymorphs: 244 meV/atom. Its space-group type is P-43m (215). The formation energy comes out at 9.62 eV/f.u. The density of states at the Fermi level comes out at 0.432 states/eV per atom.

Unit cell a=4.0253 b=4.0253 c=4.0253 alpha=90.00 beta=90.00 gamma=90.00
Fractional positions:
C 0.1370 0.8630 0.1370
Cu 0.0000 0.5000 0.5000
C 0.8630 0.8630 0.8630
C 0.8630 0.1370 0.1370
Cu 0.5000 0.5000 0.0000
Cu 0.5000 0.0000 0.5000
C 0.1370 0.1370 0.8630

Entry from the Alexandria database: Cu3C2 after structural relaxation (GGA-PBE).

Results
Its total DFT energy (no corrections) is -5.0229 eV per atom. As for the relative energy among the computed polymorphs: 0 meV/atom. Its space-group type is Fdd2 (43). The formation energy comes out at 5.62 eV/f.u. The density of states at the Fermi level comes out at 0.429 states/eV per atom.

Unit cell a=7.6413 b=5.9253 c=5.4500 alpha=84.29 beta=50.50 gamma=45.21
Fractional positions:
Cu 0.0424 0.7934 0.5059
Cu 0.4566 0.2076 0.5918
C 0.3145 0.0100 0.8369
Cu 0.7441 0.5918 0.2076
C 0.8387 0.8369 0.0100
Cu 0.6582 0.5059 0.7934
Cu 0.3962 0.1038 0.1038
C 0.2400 0.9355 0.4113
C 0.4131 0.4113 0.9355
Cu 0.1462 0.8538 0.8538

Entry from the Alexandria database: CuC2 after structural relaxation (GGA-PBE).

Results
Its total DFT energy (no corrections) is -6.5086 eV per atom. As for the relative energy among the computed polymorphs: 772 meV/atom. Its space-group type is C2/m (12). The formation energy comes out at 3.02 eV/f.u. The density of states at the Fermi level comes out at 0.147 states/eV per atom.

Unit cell a=3.8090 b=3.8090 c=5.7877 alpha=80.24 beta=80.24 gamma=50.07
Fractional positions:
Cu 0.6170 0.6170 0.1420
C 0.0295 0.0295 0.6060
C 0.9705 0.9705 0.3940
Cu 0.3830 0.3830 0.8580
C 0.1278 0.1278 0.7734
C 0.8722 0.8722 0.2266

Entry from the Alexandria database: Cu3C4 after structural relaxation (GGA-PBE).

Results
Its total DFT energy (no corrections) is -5.8963 eV per atom. As for the relative energy among the computed polymorphs: 0 meV/atom. Its space-group type is P6/mmm (191). The formation energy comes out at 7.91 eV/f.u. The density of states at the Fermi level comes out at 0.159 states/eV per atom.

Unit cell a=5.6500 b=5.6500 c=2.5411 alpha=90.00 beta=90.00 gamma=120.00
Fractional positions:
C 0.6667 0.3333 0.5000
Cu 0.0000 0.5000 0.0000
C 0.3333 0.6667 0.5000
Cu 0.5000 0.5000 0.0000
C 0.0000 0.0000 0.2509
C 0.0000 0.0000 0.7491
Cu 0.5000 0.0000 0.0000

Entry from the Alexandria database: Cu2C after structural relaxation (GGA-PBE).

Results
Its total DFT energy (no corrections) is -4.5683 eV per atom. As for the relative energy among the computed polymorphs: 573 meV/atom. Its space-group type is Cmmm (65). The formation energy comes out at 3.71 eV/f.u. The density of states at the Fermi level comes out at 0.339 states/eV per atom.

Unit cell a=5.7691 b=5.7691 c=2.6644 alpha=90.00 beta=90.00 gamma=136.30
Fractional positions:
Cu 0.0000 0.0000 0.0000
Cu 0.1976 0.8024 0.5000
Cu 0.8024 0.1976 0.5000
Cu 0.5000 0.5000 0.5000
C 0.3492 0.6508 0.0000
C 0.6508 0.3492 0.0000

Entry from the Alexandria database: Cu7C5 after structural relaxation (GGA-PBE).

Results
Its total DFT energy (no corrections) is -4.8718 eV per atom. Its space-group type is I4mm (107). The formation energy comes out at 16.33 eV/f.u. The density of states at the Fermi level comes out at 0.434 states/eV per atom.

Unit cell a=5.9085 b=5.9085 c=5.9085 alpha=125.06 beta=125.06 gamma=81.43
Fractional positions:
Cu 0.4445 0.9445 0.5000
C 0.0703 0.0703 0.0000
C 0.2445 0.8413 0.0000
Cu 0.9869 0.6928 0.2941
Cu 0.6928 0.9869 0.2941
Cu 0.6928 0.3987 0.7059
Cu 0.3987 0.6928 0.7059
C 0.8413 0.8413 0.5968
C 0.2445 0.2445 0.4032
C 0.8413 0.2445 0.0000
Cu 0.2979 0.2979 0.0000
Cu 0.9445 0.4445 0.5000

Entry from the Alexandria database: CuC2 after structural relaxation (GGA-PBE).

Results
Its total DFT energy (no corrections) is -4.6003 eV per atom. As for the relative energy among the computed polymorphs: 2680 meV/atom. Its space-group type is P4/mmm (123). The formation energy comes out at 8.74 eV/f.u. The density of states at the Fermi level comes out at 0.674 states/eV per atom.

Unit cell a=2.9565 b=2.9565 c=3.7188 alpha=90.00 beta=90.00 gamma=90.00
Fractional positions:
C 0.0000 0.0000 0.5000
C 0.5000 0.5000 0.0000
Cu 0.0000 0.0000 0.0000

Entry from the Alexandria database: Cu5C after structural relaxation (GGA-PBE).

Results
Its total DFT energy (no corrections) is -4.2415 eV per atom. As for the relative energy among the computed polymorphs: 231 meV/atom. Its space-group type is P-62m (189). The formation energy comes out at 4.26 eV/f.u. The density of states at the Fermi level comes out at 0.559 states/eV per atom.

Unit cell a=4.4276 b=4.4276 c=3.8626 alpha=90.00 beta=90.00 gamma=120.00
Fractional positions:
Cu 0.6667 0.3333 0.5000
Cu 0.3333 0.6667 0.5000
Cu 0.0000 0.6865 0.0000
Cu 0.3135 0.3135 0.0000
Cu 0.6865 0.0000 0.0000
C 0.0000 0.0000 0.5000

Entry from the Alexandria database: CuC2 after structural relaxation (GGA-PBE).

Results
Its total DFT energy (no corrections) is -5.5724 eV per atom. As for the relative energy among the computed polymorphs: 1708 meV/atom. Its space-group type is P4/mmm (123). The formation energy comes out at 5.83 eV/f.u. The density of states at the Fermi level comes out at 0.482 states/eV per atom.

Unit cell a=2.5399 b=2.5399 c=3.6022 alpha=90.00 beta=90.00 gamma=90.00
Fractional positions:
Cu 0.0000 0.0000 0.0000
C 0.5000 0.0000 0.5000
C 0.0000 0.5000 0.5000